## Mn13Fe2 (PBE-GGA)

Data for a relaxed Mn13Fe2 crystal.

extended XYZ file:
```
15
Lattice="-2.885 -5.417 2.510 -1.085 -4.007 -3.724 2.567 -5.936 1.457" Properties=species:S:1:pos:R:3 pbc="T T T"
Mn 0.319 -7.708 2.383
Mn -1.722 -7.651 -2.140
Fe 0.973 -9.443 0.676
Mn -1.373 -5.996 1.804
Mn -3.077 -8.276 -0.204
Mn -0.702 -7.680 0.122
Mn -0.940 -5.272 -2.380
Mn -0.463 -10.088 2.623
Mn -0.030 -9.364 -1.560
Mn -1.445 -10.036 0.339
Mn -2.152 -8.308 2.080
Fe -2.376 -5.917 -0.432
Mn 0.749 -7.052 -1.837
Mn 1.674 -7.083 0.447
Mn 0.042 -5.323 -0.096
```

* SG: P-1
* E: -134.91 eV for the cell shown
* total magnetic moment: 1.8 μB per cell